[1]
Compound: Tb2HoGa
Source: Alexandria
Functional: PBE
Structure: relaxed

a b c (Å): 4.7291 4.7262 4.7262
angles (deg): 90.00 90.00 90.00
Sites, in units of the cell vectors:
Tb1 0.0000 0.5000 0.0000
Tb2 0.0000 0.0000 0.5000
Ho1 0.5000 0.5000 0.5000
Ga1 0.5000 0.0000 0.0000

Output
Spin magnetization: 0.06 Bohr magnetons per cell
Volume: 105.6 Å³ per cell
E_form: -239 meV per atom
D(E_F): 6.363 states/eV/f.u.
E above lowest polymorph: 0.036 eV per atom
Total energy: -0.3275 Ry per atom

=====

[2]
Compound: TlAgTe2
Source: Alexandria
Functional: PBE
Structure: relaxed

a b c (Å): 9.3782 8.8486 6.7351
angles (deg): 90.00 90.00 90.00
Sites, in units of the cell vectors:
Ag1 0.0920 0.1459 0.3861
Ag2 0.5920 0.3541 0.3861
Ag3 0.4080 0.6459 0.8861
Ag4 0.9080 0.8541 0.8861
Tl1 0.3872 0.9730 0.6653
Tl2 0.1128 0.4730 0.1653
Tl3 0.6128 0.0270 0.1653
Tl4 0.8872 0.5270 0.6653
Te1 0.3799 0.5654 0.4931
Te2 0.8799 0.9346 0.4931
Te3 0.1201 0.0654 0.9931
Te4 0.6956 0.1978 0.7053
Te5 0.6201 0.4346 0.9931
Te6 0.1956 0.3022 0.7053
Te7 0.8044 0.6978 0.2053
Te8 0.3044 0.8022 0.2053

Output
Spin magnetization: 0.00 Bohr magnetons per cell
Volume: 558.9 Å³ per cell
D(E_F): 0.000 states/eV/f.u.
Total energy: -0.2182 Ry per atom

=====

[3]
Compound: HgSb2As
Source: Alexandria
Functional: PBE
Structure: relaxed

a b c (Å): 3.1113 5.9806 5.8500
angles (deg): 90.00 90.00 90.00
Sites, in units of the cell vectors:
As1 0.5000 0.0000 0.0000
Sb1 0.5000 0.5000 0.5000
Sb2 0.5000 0.0000 0.5000
Hg1 0.5000 0.5000 0.0000

Output
Spin magnetization: 0.00 Bohr magnetons per cell
Volume: 108.9 Å³ per cell
D(E_F): 2.427 states/eV/f.u.
E above lowest polymorph: 0.131 eV per atom
Total energy: -0.2306 Ry per atom

=====

[4]
Compound: LaCeEr4
Source: Alexandria
Functional: PBE
Structure: relaxed

a b c (Å): 3.3381 5.9490 11.4248
angles (deg): 117.06 90.04 106.26
Last column: magnetic moment on the atom in μB.
Sites, in units of the cell vectors:
Er1 0.3436 0.6866 0.6620  0.03
Er2 0.8420 0.6835 0.1534  0.07
Er3 0.6564 0.3134 0.3380  0.03
Er4 0.1580 0.3165 0.8466  0.07
La1 0.0000 0.0000 0.5000  -0.01
Ce1 0.5000 0.0000 0.0000  0.72

Output
Spin magnetization: 1.13 Bohr magnetons per cell
Volume: 191.8 Å³ per cell
E_form: 223 meV per atom
D(E_F): 14.426 states/eV/f.u.
Total energy: -0.3403 Ry per atom